Entry 1:
## CuSiOs2 (GGA-PBE)

Data for a geometry-optimized CuSiOs2 structure.

Results
VASP energy, Ha/atom: -0.2905
Crystal system: orthorhombic
ΔE_f (raw), eV per atom: 0.091
Symmetry: Immm, No. 71

abc: 5.2195 5.2195 5.2195
angles: 148.60 130.91 59.44
Atoms (fractional coordinates):
Cu: 0.2500 0.7500 0.5000
Si: 0.7500 0.2500 0.5000
Os: 0.9621 0.9621 0.0000
Os: 0.5379 0.5379 0.0000

Entry 2:
## CuSi2Os (GGA-PBE)

Data for a geometry-optimized CuSi2Os structure.

Results
VASP energy, Ha/atom: -0.2384
Energy above the most stable polymorph in this dataset, eV/atom: 0.144
Crystal system: tetragonal
ΔE_f (raw), eV per atom: 0.056
Symmetry: I-4m2, No. 119

abc: 4.6544 4.6544 4.6544
angles: 133.91 133.93 67.21
Atoms (fractional coordinates):
Si: 0.7501 0.2501 0.5000
Si: 0.0001 0.0001 0.0000
Cu: 0.4999 0.4999 0.0000
Os: 0.2499 0.7499 0.5000

Entry 3:
## Cu2Si2Os (GGA-PBE)

Data for a geometry-optimized Cu2Si2Os structure.

Results
VASP energy, Ha/atom: -0.2209
Crystal system: tetragonal
ΔE_f (raw), eV per atom: 0.044
Symmetry: P4/mbm, No. 127

abc: 6.3117 6.3117 3.3459
angles: 90.00 90.00 90.00
Atoms (fractional coordinates):
Os: 0.5000 0.5000 0.0000
Os: 0.0000 0.0000 0.0000
Si: 0.1459 0.3541 0.0000
Si: 0.6459 0.1459 0.0000
Si: 0.8541 0.6459 0.0000
Si: 0.3541 0.8541 0.0000
Cu: 0.3522 0.1478 0.5000
Cu: 0.1478 0.6478 0.5000
Cu: 0.8522 0.3522 0.5000
Cu: 0.6478 0.8522 0.5000

Entry 4:
## Cu2SiOs2 (GGA-PBE)

Data for a geometry-optimized Cu2SiOs2 structure.

Results
VASP energy, Ha/atom: -0.2464
Energy above the most stable polymorph in this dataset, eV/atom: 0.000
Crystal system: tetragonal
ΔE_f (raw), eV per atom: 0.509
Symmetry: P4/mbm, No. 127

abc: 5.7882 5.7882 3.9259
angles: 90.00 90.00 90.00
Atoms (fractional coordinates):
Si: 0.5000 0.5000 0.0000
Si: 0.0000 0.0000 0.0000
Os: 0.8294 0.3294 0.5000
Os: 0.6706 0.8294 0.5000
Os: 0.1706 0.6706 0.5000
Os: 0.3294 0.1706 0.5000
Cu: 0.1374 0.3626 0.0000
Cu: 0.6374 0.1374 0.0000
Cu: 0.3626 0.8626 0.0000
Cu: 0.8626 0.6374 0.0000

Entry 5:
## CuSi2Os (GGA-PBE)

Data for a geometry-optimized CuSi2Os structure.

Results
VASP energy, Ha/atom: -0.2408
Energy above the most stable polymorph in this dataset, eV/atom: 0.080
Crystal system: tetragonal
ΔE_f (raw), eV per atom: -0.008
Symmetry: P4/mmm, No. 123

abc: 3.0723 3.0705 5.4532
angles: 90.00 90.00 90.00
Atoms (fractional coordinates):
Os: 0.5000 0.5000 0.7500
Cu: 0.5000 0.5000 0.2500
Si: 0.0000 0.0000 0.0118
Si: 0.0000 0.0000 0.4882

Entry 6:
## TiCuSi2Os (GGA-PBE)

Data for a geometry-optimized TiCuSi2Os structure.

Results
VASP energy, Ha/atom: -0.2143
Crystal system: tetragonal
ΔE_f (raw), eV per atom: 0.983
Symmetry: P4/mmm, No. 123

abc: 4.2334 4.6858 4.2334
angles: 90.00 90.00 90.00
Atoms (fractional coordinates):
Os: 0.0000 0.5000 0.0000
Si: 0.5000 0.0000 0.0000
Si: 0.0000 0.0000 0.5000
Ti: 0.5000 0.5000 0.5000
Cu: 0.0000 0.0000 0.0000

Entry 7:
## VCuSiOs (GGA-PBE)

Data for a geometry-optimized VCuSiOs structure.

Results
VASP energy, Ha/atom: -0.2812
Crystal system: cubic
ΔE_f (raw), eV per atom: -0.185
Symmetry: F-43m, No. 216

abc: 4.1906 4.1906 4.1906
angles: 60.00 60.00 60.00
Atoms (fractional coordinates):
Cu: 0.5000 0.5000 0.5000
Si: 0.7500 0.7500 0.7500
V: 0.2500 0.2500 0.2500
Os: 0.0000 0.0000 0.0000

Entry 8:
## Sm2CuOs (GGA-PBE)

Data for a geometry-optimized Sm2CuOs structure.

Results
VASP energy, Ha/atom: -0.2317
Formation enthalpy at 0 K, eV/atom: -0.115
Crystal system: tetragonal
Symmetry: P4/mmm, No. 123

abc: 3.4686 3.4686 7.2946
angles: 90.00 90.00 90.00
Atoms (fractional coordinates):
Cu: 0.5000 0.5000 0.5000
Os: 0.5000 0.5000 0.0000
Sm: 0.0000 0.0000 0.2365
Sm: 0.0000 0.0000 0.7635